Below is a relaxed Fe2SiSb crystal, with properties calculated at the PBE level.

POSCAR file:
```
Fe2SiSb
1.0
1.493 0.862 7.427
-1.493 0.862 7.427
0.000 -1.724 7.427
Fe Si Sb
2 1 1
direct
0.242 0.242 0.242 Fe
0.758 0.758 0.758 Fe
0.500 0.500 0.500 Si
0.000 0.000 0.000 Sb
```

The value obtained for the formation energy from raw total energies is 0.2362 eV/atom. The volume comes out at 57 Å³ per cell. Its space-group type is R-3m (166). For the uncorrected energy, the calculation gives -25.53 eV per cell. The calculated density comes out at 7.574 g/cm³.

***

Below is a relaxed Th6MgC5 crystal, with properties calculated at the PBE level.

POSCAR file:
```
Th6MgC5
1.0
6.717 0.000 0.000
-3.358 5.817 0.000
0.000 0.000 12.816
Th Mg C
12 2 10
direct
0.000 0.382 0.120 Th
0.000 0.382 0.380 Th
0.000 0.618 0.620 Th
0.000 0.618 0.880 Th
0.382 0.000 0.120 Th
0.382 0.000 0.380 Th
0.382 0.382 0.620 Th
0.382 0.382 0.880 Th
0.618 0.000 0.620 Th
0.618 0.000 0.880 Th
0.618 0.618 0.120 Th
0.618 0.618 0.380 Th
0.000 0.000 0.250 Mg
0.000 0.000 0.750 Mg
0.000 0.324 0.750 C
0.000 0.676 0.250 C
0.324 0.000 0.750 C
0.324 0.324 0.250 C
0.333 0.667 0.000 C
0.333 0.667 0.500 C
0.667 0.333 0.000 C
0.667 0.333 0.500 C
0.676 0.000 0.250 C
0.676 0.676 0.750 C
```

The volume comes out at 501 Å³ per cell. The value obtained for the energy of formation is 0.009 eV per atom. Its space-group type is P6_3/mcm (193). For the uncorrected energy, the calculation gives -184.26 eV per cell. The calculated density comes out at 9.794 g/cm³.

***

Below is a relaxed KLaRe crystal, with properties calculated at the PBE level.

POSCAR file:
```
KLaRe
1.0
0.000 2.687 8.421
2.017 0.000 8.421
2.017 2.687 0.000
K La Re
1 1 1
direct
0.000 0.000 0.000 K
0.265 0.265 0.735 La
0.657 0.657 0.343 Re
```

The excess energy over the best structure of this formula in the dataset is 0.00 eV/f.u. The volume comes out at 91 Å³ per cell. The value obtained for the energy of formation is 0.952 eV per atom. Its space-group type is Fmm2 (42). For the uncorrected energy, the calculation gives -15.62 eV per cell. The calculated density comes out at 6.627 g/cm³.

***

Below is a relaxed Pm2Pr6Rh crystal, with properties calculated at the PBE level.

POSCAR file:
```
Pm2Pr6Rh
1.0
4.720 -8.964 0.000
4.720 8.964 0.000
0.000 0.000 3.749
Pm Pr Rh
2 6 1
direct
0.172 0.828 0.000 Pm
0.828 0.172 0.000 Pm
0.165 0.501 0.500 Pr
0.279 0.279 0.000 Pr
0.499 0.835 0.500 Pr
0.501 0.165 0.500 Pr
0.721 0.721 0.000 Pr
0.835 0.499 0.500 Pr
0.500 0.500 0.500 Rh
```

The volume comes out at 317 Å³ per cell. The value obtained for the energy of formation is 0.032 eV per atom. Its space-group type is Cmmm (65). For the uncorrected energy, the calculation gives -45.24 eV per cell. The calculated density comes out at 6.483 g/cm³.

***

Below is a relaxed RbMgHg2Au crystal, with properties calculated at the PBE level.

POSCAR file:
```
RbMgHg2Au
1.0
5.615 0.000 0.000
0.000 5.615 0.000
0.000 0.000 5.308
Rb Mg Hg Au
1 1 2 1
direct
0.000 0.000 0.000 Rb
0.500 0.500 0.500 Mg
0.000 0.500 0.500 Hg
0.500 0.000 0.500 Hg
0.500 0.500 0.000 Au
```

The excess energy over the best structure of this formula in the dataset is 0.00 eV/f.u. The volume comes out at 167 Å³ per cell. The value obtained for the energy of formation is -0.148 eV per atom. Its space-group type is P4/mmm (123). For the uncorrected energy, the calculation gives -7.18 eV per cell. The calculated density comes out at 7.024 g/cm³.

***

Below is a relaxed Cu4TcPb crystal, with properties calculated at the PBE level.

POSCAR file:
```
Cu4TcPb
1.0
0.000 3.512 3.512
3.512 0.000 3.512
3.512 3.512 0.000
Cu Tc Pb
4 1 1
direct
0.376 0.376 0.376 Cu
0.376 0.376 0.872 Cu
0.376 0.872 0.376 Cu
0.872 0.376 0.376 Cu
0.750 0.750 0.750 Tc
0.000 0.000 0.000 Pb
```

The volume comes out at 87 Å³ per cell. The value obtained for the energy of formation is 0.416 eV per atom. Its space-group type is F-43m (216). For the uncorrected energy, the calculation gives -27.96 eV per cell. The calculated density comes out at 10.717 g/cm³.

***

Below is a relaxed PmDy3Ho4Se8 crystal, with properties calculated at the PBE level.

POSCAR file:
```
PmDy3Ho4Se8
1.0
4.080 2.356 6.671
-4.080 2.356 6.671
0.000 -4.711 6.671
Pm Dy Ho Se
1 3 4 8
direct
0.000 0.000 0.000 Pm
0.000 0.500 0.500 Dy
0.500 0.000 0.500 Dy
0.500 0.500 0.000 Dy
0.000 0.000 0.500 Ho
0.000 0.500 0.000 Ho
0.500 0.000 0.000 Ho
0.500 0.500 0.500 Ho
0.249 0.249 0.249 Se
0.253 0.746 0.746 Se
0.254 0.254 0.747 Se
0.254 0.747 0.254 Se
0.746 0.253 0.746 Se
0.746 0.746 0.253 Se
0.747 0.254 0.254 Se
0.751 0.751 0.751 Se
```

The value obtained for the formation energy from raw total energies is -1.7398 eV/atom. The volume comes out at 385 Å³ per cell. Its space-group type is R-3m (166). For the uncorrected energy, the calculation gives -92.58 eV per cell. The calculated density comes out at 8.304 g/cm³.

***

Below is a relaxed PaBiPd6 crystal, with properties calculated at the PBE level.

POSCAR file:
```
PaBiPd6
1.0
4.161 0.000 0.000
0.000 4.161 0.000
0.000 0.000 8.286
Pa Bi Pd
1 1 6
direct
0.000 0.000 0.000 Pa
0.000 0.000 0.500 Bi
0.000 0.500 0.236 Pd
0.000 0.500 0.764 Pd
0.500 0.000 0.236 Pd
0.500 0.000 0.764 Pd
0.500 0.500 0.000 Pd
0.500 0.500 0.500 Pd
```

The volume comes out at 143 Å³ per cell. The value obtained for the energy of formation is -0.535 eV per atom. Its space-group type is P4/mmm (123). For the uncorrected energy, the calculation gives -48.81 eV per cell. The calculated density comes out at 12.485 g/cm³.

***

Below is a relaxed ZrSi2BOs crystal, with properties calculated at the PBE level.

POSCAR file:
```
ZrSi2BOs
1.0
4.722 0.000 0.000
0.000 4.722 0.000
0.000 0.000 3.949
Zr Si B Os
1 2 1 1
direct
0.000 0.000 0.000 Zr
0.000 0.500 0.500 Si
0.500 0.000 0.500 Si
0.500 0.500 0.000 B
0.500 0.500 0.500 Os
```

The value obtained for the formation energy from raw total energies is 0.5684 eV/atom. The volume comes out at 88 Å³ per cell. Its space-group type is P4/mmm (123). For the uncorrected energy, the calculation gives -34.46 eV per cell. The calculated density comes out at 6.571 g/cm³.

***

Below is a relaxed MgP crystal, with properties calculated at the PBE level.

POSCAR file:
```
MgP
1.0
13.059 0.000 0.000
0.000 4.280 0.000
0.000 0.000 4.423
Mg P
6 6
direct
0.000 0.159 0.000 Mg
0.243 0.740 0.751 Mg
0.257 0.260 0.251 Mg
0.500 0.841 0.500 Mg
0.743 0.260 0.251 Mg
0.757 0.740 0.751 Mg
0.000 0.543 0.470 P
0.144 0.759 0.252 P
0.356 0.241 0.752 P
0.500 0.457 0.970 P
0.644 0.241 0.752 P
0.856 0.759 0.252 P
```

The excess energy over the best structure of this formula in the dataset is 0.47 eV/f.u. The volume comes out at 247 Å³ per cell. The value obtained for the energy of formation is -0.284 eV per atom. Its space-group type is Pmn2_1 (31). For the uncorrected energy, the calculation gives -45.44 eV per cell. The calculated density comes out at 2.228 g/cm³.

***

Below is a relaxed GeBPd3 crystal, with properties calculated at the PBE level.

POSCAR file:
```
GeBPd3
1.0
4.207 0.000 0.000
0.000 4.207 0.000
0.000 0.000 4.207
Ge B Pd
1 1 3
direct
0.000 0.000 0.000 Ge
0.500 0.500 0.500 B
0.000 0.500 0.500 Pd
0.500 0.000 0.500 Pd
0.500 0.500 0.000 Pd
```

The excess energy over the best structure of this formula in the dataset is 0.00 eV/f.u. The volume comes out at 74 Å³ per cell. The value obtained for the energy of formation is -0.068 eV per atom. Its space-group type is Pm-3m (221). For the uncorrected energy, the calculation gives -27.21 eV per cell. The calculated density comes out at 8.981 g/cm³.

***

Below is a relaxed ZrReRh2 crystal, with properties calculated at the PBE level.

POSCAR file:
```
ZrReRh2
1.0
4.647 -1.435 0.000
4.647 1.435 0.000
-0.868 0.000 4.830
Zr Re Rh
1 1 2
direct
0.000 0.000 0.000 Zr
0.500 0.500 0.500 Re
0.245 0.245 0.731 Rh
0.755 0.755 0.269 Rh
```

The excess energy over the best structure of this formula in the dataset is 0.72 eV/f.u. The volume comes out at 64 Å³ per cell. The value obtained for the energy of formation is -0.161 eV per atom. Its space-group type is C2/m (12). For the uncorrected energy, the calculation gives -36.34 eV per cell. The calculated density comes out at 12.459 g/cm³.

***

Question: The highest uncorrected energy belongs to which entry?
Answer: RbMgHg2Au

***

Question: What is the calculated density in the ninth record?
Answer: 6.571 g/cm³

***

Question: Which formula does entry 5 have?
Answer: RbMgHg2Au

***

Question: Among the records above, which one has the highest uncorrected energy?
Answer: RbMgHg2Au